Density functional theory data (PBE) for a relaxed MgSc2NiI crystal.

Unit cell a=5.3215 b=5.3215 c=4.6343 alpha=90.00 beta=90.00 gamma=90.00
Space group P4/mmm (No. 123)
Inequivalent atoms, fractional coordinates:
Mg 0.0000 0.0000 0.0000 [1 per cell]
Sc 0.0000 0.5000 0.5000 [2 per cell]
Ni 0.5000 0.5000 0.0000 [1 per cell]
I 0.5000 0.5000 0.5000 [1 per cell]

Properties
Its uncorrected formation energy is 0.427 eV/atom.

Density functional theory data (PBE) for a relaxed PaGaCu2 crystal.

Unit cell a=6.5029 b=6.5029 c=6.5029 alpha=90.00 beta=90.00 gamma=90.00
Space group Fm-3m (No. 225)
Inequivalent atoms, fractional coordinates:
Pa 0.0000 0.0000 0.0000 [4 per cell]
Ga 0.0000 0.0000 0.5000 [4 per cell]
Cu 0.2500 0.2500 0.2500 [8 per cell]

Properties
The formation energy is -0.144 eV per atom.

Density functional theory data (PBE) for a relaxed ZrSc2HgC crystal.

Unit cell a=4.5161 b=4.5161 c=4.5914 alpha=90.00 beta=90.00 gamma=90.00
Space group P4/mmm (No. 123)
Inequivalent atoms, fractional coordinates:
Zr 0.0000 0.0000 0.0000 [1 per cell]
Sc 0.0000 0.5000 0.5000 [2 per cell]
Hg 0.5000 0.5000 0.0000 [1 per cell]
C 0.0000 0.0000 0.5000 [1 per cell]

Properties
The formation energy is -0.545 eV per atom.